(1)
Here is DyCdSi2Pt7 after structural relaxation from Alexandria. Energies are from PBE. Values from VASP.

```
&SYSTEM
  ibrav = 0, nat = 11, ntyp = 4
/
ATOMIC_SPECIES
Dy 162.50 Dy.upf
Cd 112.41 Cd.upf
Si 28.09 Si.upf
Pt 195.08 Pt.upf
CELL_PARAMETERS angstrom
-2.8180 -0.1816 2.8797
-0.4407 -3.9509 -0.6803
12.1410 -0.8458 9.0032
ATOMIC_POSITIONS crystal
Dy 0.5000 0.5000 0.0000
Cd 0.2500 0.7500 0.5000
Si 0.8831 0.8831 0.7663
Si 0.1169 0.1169 0.2337
Pt 0.0736 0.5736 0.1473
Pt 0.0000 0.0000 0.0000
Pt 0.4264 0.9264 0.8527
Pt 0.8084 0.8084 0.6168
Pt 0.5732 0.0732 0.1465
Pt 0.1916 0.1916 0.3832
Pt 0.9268 0.4268 0.8535
```

Summary:
Uncorrected formation energy: -4.19 eV per formula unit
SG: No. 119

***

(2)
Here is CaBe2 after structural relaxation from Alexandria. Energies are from PBE. Values from VASP.

```
&SYSTEM
  ibrav = 0, nat = 6, ntyp = 2
/
ATOMIC_SPECIES
Ca 40.08 Ca.upf
Be 9.01 Be.upf
CELL_PARAMETERS angstrom
1.9011 5.3085 0.0006
-1.9011 5.3085 0.0006
0.0000 1.7935 5.5178
ATOMIC_POSITIONS crystal
Ca 0.0293 0.0293 0.5844
Ca 0.6962 0.6962 0.9830
Be 0.9645 0.9645 0.1117
Be 0.7961 0.7961 0.4068
Be 0.3020 0.3020 0.5599
Be 0.3786 0.3786 0.1875
```

Summary:
Formation energy from the elements: 0.292 eV per atom
ΔE to the lowest computed polymorph: 0.329 eV/f.u.
SG: No. 8

***

Number 1: total magnetization 0.0 μB per formula unit, N(E_F) 4.3 states/eV/f.u.. Number 2: total magnetization 0.0 μB per formula unit, N(E_F) 1.6 states/eV/f.u..